[1]
The following is a PBE-GGA calculation of a relaxed Tb4Sm2HoTm2 crystal, from Alexandria.

Summary:
ΔH_f (0 K), eV per atom: 0.025
Space group: C2/m (12)

a b c (Å): 8.714 8.714 9.691
angles (deg): 100.17 100.17 23.43
Positions (direct):
Tb  0.014  0.014  0.324
Tb  0.326  0.326  0.767
Tb  0.674  0.674  0.233
Tb  0.986  0.986  0.676
Sm  0.343  0.343  0.413
Sm  0.657  0.657  0.587
Ho  0.500  0.500  0.000
Tm  0.165  0.165  0.921
Tm  0.835  0.835  0.079

[2]
The following is a PBE-GGA calculation of a relaxed Tb4SmHo2Tm crystal, from Alexandria.

Summary:
ΔH_f (0 K), eV per atom: 0.018
Space group: P4/mmm (123)

a b c (Å): 5.015 5.015 10.043
angles (deg): 90.00 90.00 90.00
Positions (direct):
Tb  0.000  0.500  0.248
Tb  0.000  0.500  0.752
Tb  0.500  0.000  0.248
Tb  0.500  0.000  0.752
Sm  0.000  0.000  0.500
Ho  0.000  0.000  0.000
Ho  0.500  0.500  0.500
Tm  0.500  0.500  0.000

[3]
The following is a PBE-GGA calculation of a relaxed TbSm3Ho6Tm2 crystal, from Alexandria.

Summary:
ΔH_f (0 K), eV per atom: 0.019
Space group: C2/m (12)

a b c (Å): 6.142 6.142 11.739
angles (deg): 94.99 94.99 119.96
Positions (direct):
Tb  0.000  0.000  0.000
Sm  0.167  0.833  0.500
Sm  0.500  0.500  0.500
Sm  0.833  0.167  0.500
Ho  0.083  0.416  0.247
Ho  0.251  0.251  0.753
Ho  0.416  0.083  0.247
Ho  0.584  0.917  0.753
Ho  0.749  0.749  0.247
Ho  0.917  0.584  0.753
Tm  0.333  0.667  0.000
Tm  0.667  0.333  0.000

[4]
The following is a PBE-GGA calculation of a relaxed TbSm2HoTm2 crystal, from Alexandria.

Summary:
ΔH_f (0 K), eV per atom: 0.154
Space group: Pnnm (58)

a b c (Å): 6.953 16.181 3.473
angles (deg): 90.00 90.00 90.00
Positions (direct):
Tb  0.000  0.000  0.000
Tb  0.500  0.500  0.500
Sm  0.249  0.340  0.000
Sm  0.251  0.840  0.500
Sm  0.749  0.160  0.500
Sm  0.751  0.660  0.000
Ho  0.000  0.500  0.500
Ho  0.500  0.000  0.000
Tm  0.249  0.152  0.500
Tm  0.251  0.652  0.000
Tm  0.749  0.348  0.000
Tm  0.751  0.848  0.500

[5]
The following is a PBE-GGA calculation of a relaxed Tb3Sm2HoTm6 crystal, from Alexandria.

Summary:
ΔH_f (0 K), eV per atom: 0.020
Space group: C2/m (12)

a b c (Å): 6.119 6.119 11.658
angles (deg): 95.01 95.01 119.96
Positions (direct):
Tb  0.000  0.000  0.000
Tb  0.333  0.667  0.000
Tb  0.667  0.333  0.000
Sm  0.167  0.833  0.500
Sm  0.833  0.167  0.500
Ho  0.500  0.500  0.500
Tm  0.083  0.416  0.249
Tm  0.251  0.251  0.751
Tm  0.416  0.083  0.249
Tm  0.584  0.917  0.751
Tm  0.749  0.749  0.249
Tm  0.917  0.584  0.751

[6]
The following is a PBE-GGA calculation of a relaxed Tb5SmHo2Tm crystal, from Alexandria.

Summary:
ΔH_f (0 K), eV per atom: 0.156
Space group: Cmc2_1 (36)

a b c (Å): 10.294 10.294 10.544
angles (deg): 90.00 90.00 148.44
Positions (direct):
Tb  0.018  0.982  0.500
Tb  0.281  0.719  0.791
Tb  0.299  0.701  0.186
Tb  0.386  0.614  0.500
Tb  0.480  0.520  0.217
Tb  0.520  0.480  0.717
Tb  0.614  0.386  0.000
Tb  0.701  0.299  0.686
Tb  0.719  0.281  0.291
Tb  0.982  0.018  0.000
Sm  0.414  0.586  0.933
Sm  0.586  0.414  0.433
Ho  0.111  0.889  0.214
Ho  0.114  0.886  0.795
Ho  0.886  0.114  0.295
Ho  0.889  0.111  0.714
Tm  0.199  0.801  0.490
Tm  0.801  0.199  0.990

[7]
The following is a PBE-GGA calculation of a relaxed Tb5Sm2HoTm crystal, from Alexandria.

Summary:
ΔH_f (0 K), eV per atom: 0.287
Space group: I4/mcm (140)

a b c (Å): 9.982 9.982 9.982
angles (deg): 129.18 129.18 74.71
Positions (direct):
Tb  0.000  0.000  0.000
Tb  0.072  0.572  0.926
Tb  0.146  0.072  0.500
Tb  0.354  0.854  0.926
Tb  0.428  0.354  0.500
Tb  0.500  0.500  0.000
Tb  0.572  0.646  0.500
Tb  0.646  0.146  0.074
Tb  0.854  0.928  0.500
Tb  0.928  0.428  0.074
Sm  0.119  0.381  0.500
Sm  0.381  0.881  0.263
Sm  0.619  0.119  0.737
Sm  0.881  0.619  0.500
Ho  0.250  0.250  0.000
Ho  0.750  0.750  0.000
Tm  0.250  0.750  0.500
Tm  0.750  0.250  0.500

[8]
The following is a PBE-GGA calculation of a relaxed TbSm2Ho6Tm crystal, from Alexandria.

Summary:
ΔH_f (0 K), eV per atom: 0.117
Space group: C2/c (15)

a b c (Å): 8.731 8.731 9.597
angles (deg): 94.38 94.38 118.07
Positions (direct):
Tb  0.020  0.980  0.750
Tb  0.980  0.020  0.250
Sm  0.196  0.300  0.543
Sm  0.300  0.196  0.043
Sm  0.700  0.804  0.957
Sm  0.804  0.700  0.457
Ho  0.020  0.573  0.687
Ho  0.125  0.747  0.057
Ho  0.253  0.875  0.443
Ho  0.292  0.504  0.881
Ho  0.427  0.980  0.813
Ho  0.496  0.708  0.619
Ho  0.504  0.292  0.381
Ho  0.573  0.020  0.187
Ho  0.708  0.496  0.119
Ho  0.747  0.125  0.557
Ho  0.875  0.253  0.943
Ho  0.980  0.427  0.313
Tm  0.408  0.592  0.250
Tm  0.592  0.408  0.750

[9]
The following is a PBE-GGA calculation of a relaxed TbSm3HoTm crystal, from Alexandria.

Summary:
ΔH_f (0 K), eV per atom: 0.019
Space group: Cmcm (63)

a b c (Å): 8.005 8.005 10.108
angles (deg): 90.00 90.00 143.25
Positions (direct):
Tb  0.000  0.000  0.000
Tb  0.000  0.000  0.500
Sm  0.167  0.833  0.750
Sm  0.334  0.666  0.000
Sm  0.334  0.666  0.500
Sm  0.666  0.334  0.000
Sm  0.666  0.334  0.500
Sm  0.833  0.167  0.250
Ho  0.499  0.501  0.750
Ho  0.501  0.499  0.250
Tm  0.166  0.834  0.250
Tm  0.834  0.166  0.750

[10]
The following is a PBE-GGA calculation of a relaxed Tb4Sm2HoTm crystal, from Alexandria.

Summary:
ΔH_f (0 K), eV per atom: 0.429
Space group: C2/c (15)

a b c (Å): 9.501 9.501 6.801
angles (deg): 110.98 110.98 88.52
Positions (direct):
Tb  0.245  0.248  0.498
Tb  0.246  0.754  0.501
Tb  0.246  0.754  0.999
Tb  0.248  0.245  0.998
Tb  0.752  0.755  0.002
Tb  0.754  0.246  0.001
Tb  0.754  0.246  0.499
Tb  0.755  0.752  0.502
Sm  0.000  0.500  0.000
Sm  0.500  0.000  0.500
Sm  0.500  0.500  0.000
Sm  0.500  0.500  0.500
Ho  0.000  0.500  0.500
Ho  0.500  0.000  0.000
Tm  0.000  0.000  0.000
Tm  0.000  0.000  0.500

[11]
The following is a PBE-GGA calculation of a relaxed Tb2Sm4HoTm crystal, from Alexandria.

Summary:
ΔH_f (0 K), eV per atom: 0.016
Space group: Pmmm (47)

a b c (Å): 5.065 5.079 10.074
angles (deg): 90.00 90.00 90.00
Positions (direct):
Tb  0.000  0.000  0.000
Tb  0.500  0.500  0.500
Sm  0.000  0.500  0.249
Sm  0.000  0.500  0.751
Sm  0.500  0.000  0.250
Sm  0.500  0.000  0.750
Ho  0.000  0.000  0.500
Tm  0.500  0.500  0.000

[12]
The following is a PBE-GGA calculation of a relaxed Tb2SmHoTm6 crystal, from Alexandria.

Summary:
ΔH_f (0 K), eV per atom: 0.122
Space group: C2/c (15)

a b c (Å): 8.691 8.691 9.472
angles (deg): 93.95 93.95 117.95
Positions (direct):
Tb  0.196  0.302  0.045
Tb  0.302  0.196  0.545
Tb  0.698  0.804  0.455
Tb  0.804  0.698  0.955
Sm  0.023  0.977  0.250
Sm  0.977  0.023  0.750
Ho  0.409  0.591  0.750
Ho  0.591  0.409  0.250
Tm  0.021  0.570  0.184
Tm  0.125  0.747  0.558
Tm  0.253  0.875  0.942
Tm  0.291  0.506  0.381
Tm  0.430  0.979  0.316
Tm  0.494  0.709  0.119
Tm  0.506  0.291  0.881
Tm  0.570  0.021  0.684
Tm  0.709  0.494  0.619
Tm  0.747  0.125  0.058
Tm  0.875  0.253  0.442
Tm  0.979  0.430  0.816